(1)
Entry from Alexandria via LeMat-Bulk: a geometry-optimized NaCr2ReO8 structure (GGA+U).

Lattice parameters (Å, degrees): 4.663 4.655 6.137 90.22 90.22 88.52
Last column: magnetic moment on the atom in μB.
Fractional coordinates of all 12 atoms:
O: 0.297 0.295 0.003  -0.04
O: 0.207 0.797 0.787  -0.05
O: 0.673 0.675 0.489  -0.27
O: 0.793 0.203 0.213  -0.05
O: 0.327 0.325 0.511  -0.27
O: 0.798 0.209 0.787  -0.05
O: 0.202 0.791 0.213  -0.05
O: 0.703 0.705 0.997  -0.04
Re: 0.000 0.000 0.000  0.11
Cr: 0.493 0.493 0.741  2.36
Cr: 0.507 0.507 0.259  2.36
Na: 0.000 0.000 0.500  0.00

Output
E = -7.2111 eV per atom


(2)
Entry from Alexandria via LeMat-Bulk: a geometry-optimized Na2Cr2RhO6 structure (GGA+U).

Lattice parameters (Å, degrees): 5.234 5.234 5.747 98.54 98.54 119.94
Last column: magnetic moment on the atom in μB.
Fractional coordinates of all 11 atoms:
O: 0.398 0.057 0.690  -0.09
O: 0.270 0.270 0.307  -0.07
O: 0.602 0.943 0.310  -0.09
O: 0.943 0.602 0.310  -0.09
O: 0.057 0.398 0.690  -0.09
O: 0.730 0.730 0.693  -0.07
Rh: 0.000 0.000 0.500  -0.48
Na: 0.166 0.834 0.000  0.00
Na: 0.834 0.166 0.000  0.00
Cr: 0.665 0.335 0.500  2.95
Cr: 0.335 0.665 0.500  2.95

Output
E = -6.5628 eV per atom


(3)
Entry from Alexandria via LeMat-Bulk: a geometry-optimized NaCrRh2O structure (GGA+U).

Lattice parameters (Å, degrees): 4.241 4.127 4.241 90.00 90.00 90.00
Last column: magnetic moment on the atom in μB.
Fractional coordinates of all 5 atoms:
Cr: 0.000 0.500 0.000  -3.87
Rh: 0.500 0.000 0.000  0.01
Rh: 0.000 0.000 0.500  -0.20
Na: 0.500 0.500 0.500  0.00
O: 0.000 0.000 0.000  0.06

Output
E = -5.7029 eV per atom


(4)
Entry from Alexandria via LeMat-Bulk: a geometry-optimized Na3CrRh3O8 structure (GGA+U).

Lattice parameters (Å, degrees): 6.175 6.175 6.452 118.55 90.00 120.00
Last column: magnetic moment on the atom in μB.
Fractional coordinates of all 15 atoms:
O: 0.265 0.037 0.309  -0.06
O: 0.772 0.544 0.309  -0.06
O: 0.267 0.535 0.302  0.00
O: 0.735 0.963 0.691  -0.06
O: 0.228 0.456 0.691  -0.06
O: 0.733 0.465 0.698  0.00
O: 0.228 0.963 0.691  -0.06
O: 0.772 0.037 0.309  -0.06
Rh: 0.000 0.500 0.500  -0.20
Rh: 0.500 0.500 0.500  -0.20
Rh: 0.500 0.000 0.500  -0.20
Na: 0.500 0.500 0.000  0.00
Na: 0.000 0.500 0.000  0.00
Na: 0.000 0.000 0.000  0.00
Cr: 0.000 0.000 0.500  3.01

Output
E = -6.1290 eV per atom


no.,magnetization (μB per formula unit)
1,3.99
2,4.98
3,4.28
4,2.03